A relaxed structure of Nd8Ho3Er2. Source: Alexandria, functional GGA-PBE.

The structure in CIF format:
```
data_Nd8Ho3Er2
_chemical_formula_sum 'Nd8 Ho3 Er2'
_cell_length_a 7.735
_cell_length_b 5.737
_cell_length_c 10.876
_cell_angle_alpha 90.00
_cell_angle_beta 110.81
_cell_angle_gamma 90.00
_symmetry_space_group_name_H-M 'P 1 2/m 1'
_symmetry_Int_Tables_number 10
_symmetry_space_group_name_Hall '-P 2y'
loop_
_atom_site_label
_atom_site_type_symbol
_atom_site_fract_x
_atom_site_fract_y
_atom_site_fract_z
_atom_site_occupancy
Nd1 Nd 0.099 0.000 0.288 1
Nd2 Nd 0.174 0.500 0.847 1
Nd3 Nd 0.311 0.000 0.712 1
Nd4 Nd 0.369 0.500 0.238 1
Ho1 Ho 0.214 0.500 0.500 1
Ho2 Ho 0.500 0.000 0.500 1
Er1 Er 0.261 0.000 0.021 1
```

Output
- ΔE_f: 0.20 eV per atom
- DOS at the Fermi energy: 18.2 states/eV/cell